VASP calculation (PBE-GGA) on a geometry-optimized Sm2HfCo structure.

Results
The formation energy is 0.48 eV/atom. The value obtained for the calculated volume is 25.17 A^3/atom.

a b c (Å): 3.3679 3.3679 30.7515
angles (deg): 90.00 90.00 120.00
Last column: nearest neighbours and their distance in Å.
Space group R-3m (No. 166, hexagonal axes)
Symmetry-distinct sites (fractional):
Sm 0.0000 0.0000 0.1054 [6 per cell]  3 Co 2.71
Hf 0.0000 0.0000 0.0000 [3 per cell]  2 Sm 3.24, 6 Hf 3.37
Co 0.0000 0.0000 0.5000 [3 per cell]  6 Sm 2.71